Compound: La2CdRh
Source: Alexandria via LeMat-Bulk
Functional: PBE-GGA
Structure: relaxed Values from VASP.

Output
calculated formation energy: -0.51 eV/atom
crystal system: trigonal

```
&SYSTEM
  ibrav = 0, nat = 4, ntyp = 3
/
ATOMIC_SPECIES
La 138.91 La.upf
Cd 112.41 Cd.upf
Rh 102.91 Rh.upf
ATOMIC_POSITIONS crystal
La 0.2317 0.2317 0.2317
La 0.7683 0.7683 0.7683
Cd 0.0000 0.0000 0.0000
Rh 0.5000 0.5000 0.5000
CELL_PARAMETERS angstrom
2.0601 1.1894 8.3347
-2.0601 1.1894 8.3347
0.0000 -2.3788 8.3347
```



Compound: Y2Ga2Sn
Source: Alexandria via LeMat-Bulk
Functional: PBE-GGA
Structure: relaxed Values from VASP.

Output
energy relative to the lowest polymorph listed for this composition: 0.261 eV/atom
calculated formation energy: -0.42 eV/atom
crystal system: tetragonal

```
&SYSTEM
  ibrav = 0, nat = 5, ntyp = 3
/
ATOMIC_SPECIES
Y 88.91 Y.upf
Ga 69.72 Ga.upf
Sn 118.71 Sn.upf
ATOMIC_POSITIONS crystal
Y 0.1092 0.1092 0.0000
Y 0.8908 0.8908 0.0000
Ga 0.2500 0.7500 0.5000
Ga 0.7500 0.2500 0.5000
Sn 0.5000 0.5000 0.0000
CELL_PARAMETERS angstrom
-1.8685 1.8685 8.9550
1.8685 -1.8685 8.9550
1.8685 1.8685 -8.9550
```



Compound: MnNiBi
Source: Alexandria via LeMat-Bulk
Functional: PBE-GGA
Structure: relaxed Values from VASP.

Output
calculated formation energy: 0.34 eV/atom
crystal system: orthorhombic

```
&SYSTEM
  ibrav = 0, nat = 6, ntyp = 3
/
ATOMIC_SPECIES
Mn 54.94 Mn.upf
Ni 58.69 Ni.upf
Bi 208.98 Bi.upf
ATOMIC_POSITIONS crystal
Mn 0.0000 0.0000 0.0000
Mn 0.5000 0.1072 0.1072
Ni 0.5000 0.2546 0.2546
Ni 0.5000 0.5066 0.5066
Bi 0.0000 0.6931 0.6931
Bi 0.5000 0.8778 0.8778
CELL_PARAMETERS angstrom
3.9648 0.0000 0.0000
0.0000 1.6320 8.9131
0.0000 -1.6320 8.9131
```



Compound: CsScICl2
Source: Alexandria via LeMat-Bulk
Functional: PBE-GGA
Structure: relaxed Values from VASP.

Output
formation energy from raw total energies: -8.236 eV/f.u.
crystal system: tetragonal

```
&SYSTEM
  ibrav = 0, nat = 5, ntyp = 4
/
ATOMIC_SPECIES
Cs 132.91 Cs.upf
Sc 44.96 Sc.upf
I 126.90 I.upf
Cl 35.45 Cl.upf
ATOMIC_POSITIONS crystal
Cs 0.0000 0.0000 0.0000
Sc 0.5000 0.5000 0.5000
I 0.5000 0.5000 0.0000
Cl 0.0000 0.5000 0.5000
Cl 0.5000 0.0000 0.5000
CELL_PARAMETERS angstrom
5.2688 0.0000 0.0000
0.0000 5.2688 0.0000
0.0000 0.0000 5.9606
```



Compound: Zn3Sn
Source: Alexandria via LeMat-Bulk
Functional: PBE-GGA
Structure: relaxed Values from VASP.

Output
calculated formation energy: 0.13 eV/atom
crystal system: tetragonal

```
&SYSTEM
  ibrav = 0, nat = 4, ntyp = 2
/
ATOMIC_SPECIES
Zn 65.41 Zn.upf
Sn 118.71 Sn.upf
ATOMIC_POSITIONS crystal
Zn 0.0000 0.0000 0.0000
Zn 0.2500 0.7500 0.5000
Zn 0.7500 0.2500 0.5000
Sn 0.5000 0.5000 0.0000
CELL_PARAMETERS angstrom
-2.0868 2.0868 4.2506
2.0868 -2.0868 4.2506
2.0868 2.0868 -4.2506
```



Compound: Dy5MgS6
Source: Alexandria via LeMat-Bulk
Functional: PBE-GGA
Structure: relaxed Values from VASP.

Output
formation energy from raw total energies: -22.348 eV/f.u.
crystal system: monoclinic

```
&SYSTEM
  ibrav = 0, nat = 12, ntyp = 3
/
ATOMIC_SPECIES
Dy 162.50 Dy.upf
Mg 24.30 Mg.upf
S 32.06 S.upf
ATOMIC_POSITIONS crystal
Dy 0.0000 0.0000 0.0000
Dy 0.1672 0.8328 0.5000
Dy 0.3300 0.6700 0.0000
Dy 0.6700 0.3300 0.0000
Dy 0.8328 0.1672 0.5000
Mg 0.5000 0.5000 0.5000
S 0.1008 0.4196 0.2586
S 0.2634 0.2634 0.7416
S 0.4196 0.1008 0.2586
S 0.5804 0.8992 0.7414
S 0.7366 0.7366 0.2584
S 0.8992 0.5804 0.7414
CELL_PARAMETERS angstrom
3.3537 -5.8401 0.0000
3.3537 5.8401 0.0000
-2.2391 0.0000 6.3115
```



no.,DOS at the Fermi energy (states/eV/cell),calculated volume (A^3/atom),final energy (eV per atom)
1,3.4,30.6,-5.04
2,5.2,25.0,-5.02
3,4.5,19.2,-5.94
4,2.4,33.1,-4.13
5,1.6,18.5,-1.83
6,4.0,20.6,-5.98